Entry from Alexandria: an optimized crystal structure of MgZn2W (PBE-GGA).

Cell lengths 3.529, 4.190, 8.678 Å; angles 90.00, 90.00, 90.00 degrees
Space group Cmm2 (No. 35)
One atom of each set of equivalent atoms:
1 Mg 0.000 0.000 0.000 [2 per cell]
2 Zn 0.000 0.000 0.498 [2 per cell]
3 Zn 0.000 0.500 0.261 [2 per cell]
4 W 0.000 0.500 0.738 [2 per cell]

Summary:
- mass density (g/cm3) = 8.771
- density of states at the Fermi level (states/eV per cell) = 1.8
- DFT formation energy (eV/atom) = 0.182


Entry from Alexandria: an optimized crystal structure of K5Cd2Au4 (PBE-GGA).

Cell lengths 21.670, 4.739, 8.273 Å; angles 90.00, 107.35, 90.00 degrees
Space group C2/m (No. 12)
One atom of each set of equivalent atoms:
1 K 0.000 0.000 0.000 [2 per cell]
2 K 0.159 0.500 0.429 [4 per cell]
3 K 0.163 0.500 0.929 [4 per cell]
4 Cd 0.069 0.000 0.615 [4 per cell]
5 Au 0.005 0.500 0.679 [4 per cell]
6 Au 0.211 0.000 0.718 [4 per cell]

Summary:
- mass density (g/cm3) = 4.948
- density of states at the Fermi level (states/eV per cell) = 9.1
- DFT formation energy (eV/atom) = -0.201


Entry from Alexandria: an optimized crystal structure of LiLa2Pm (PBE-GGA).

Cell lengths 3.6586, 3.6586, 34.8801 Å; angles 90.00, 90.00, 120.00 degrees
Space group R3m (No. 160, hexagonal axes)
One atom of each set of equivalent atoms:
1 Li 0.0000 0.0000 0.0000 [3 per cell]
2 La 0.0000 0.0000 0.4139 [3 per cell]
3 La 0.0000 0.0000 0.5851 [3 per cell]
4 Pm 0.0000 0.0000 0.8326 [3 per cell]

Summary:
- mass density (g/cm3) = 5.295
- density of states at the Fermi level (states/eV per cell) = 15.3
- DFT formation energy (eV/atom) = 0.084


Entry from Alexandria: an optimized crystal structure of Si2NiP (PBE-GGA).

Cell lengths 2.626, 2.626, 8.360 Å; angles 90.00, 90.00, 90.00 degrees
Space group P4mm (No. 99)
One atom of each set of equivalent atoms:
1 Si 0.000 0.000 0.000 [1 per cell]
2 Si 0.500 0.500 0.236 [1 per cell]
3 Ni 0.000 0.000 0.440 [1 per cell]
4 P 0.500 0.500 0.626 [1 per cell]

Summary:
- mass density (g/cm3) = 4.201
- density of states at the Fermi level (states/eV per cell) = 1.1
- energy relative to the elements, uncorrected (eV/atom) = 0.188


Entry from Alexandria: an optimized crystal structure of CaNpCl5 (PBE-GGA).

Cell lengths 11.874, 8.537, 10.221 Å; angles 90.00, 116.12, 90.00 degrees
Space group C2/c (No. 15)
One atom of each set of equivalent atoms:
1 Ca 0.000 0.031 0.250 [4 per cell]
2 Np 0.000 0.500 0.000 [4 per cell]
3 Cl 0.000 0.371 0.250 [4 per cell]
4 Cl 0.030 0.189 0.960 [8 per cell]
5 Cl 0.249 0.446 0.640 [8 per cell]

Summary:
- mass density (g/cm3) = 3.244
- density of states at the Fermi level (states/eV per cell) = 22.4
- energy relative to the elements, uncorrected (eV/atom) = -1.936


Entry from Alexandria: an optimized crystal structure of CrFe2Ru (PBE-GGA).

Cell lengths 3.601, 3.601, 7.361 Å; angles 90.00, 90.00, 90.00 degrees
Space group I4/mmm (No. 139)
One atom of each set of equivalent atoms:
1 Cr 0.000 0.000 0.000 [2 per cell]
2 Fe 0.000 0.500 0.250 [4 per cell]
3 Ru 0.000 0.000 0.500 [2 per cell]

Summary:
- mass density (g/cm3) = 9.210
- density of states at the Fermi level (states/eV per cell) = 9.1
- DFT formation energy (eV/atom) = 0.088